No. 1
## PrNd2CdC (PBE)

Data for a relaxed structure of PrNd2CdC.

Its energy of formation from the pure elements is -0.139 eV per atom. The value obtained for the density of states at the Fermi level is 5.35 states/eV/f.u. The value obtained for the volume is 136.41 Å³/f.u.

It has space group P4/mmm (No. 123), with a = 5.129 Å, b = 5.129 Å, c = 5.185 Å, α = 90.00°, β = 90.00° and γ = 90.00°. The inequivalent atoms are Pr at (0.000, 0.000, 0.000), Nd at (0.000, 0.500, 0.500), Cd at (0.500, 0.500, 0.000) and C at (0.000, 0.000, 0.500).


No. 2
## TiAlIrPt (PBE)

Data for a relaxed structure of TiAlIrPt.

Its energy of formation from the pure elements is -0.976 eV per atom. The value obtained for the density of states at the Fermi level is 0.86 states/eV/f.u. The value obtained for the volume is 59.23 Å³/f.u.

It has space group I-4m2 (No. 119), with a = 4.031 Å, b = 4.031 Å, c = 7.292 Å, α = 90.00°, β = 90.00° and γ = 90.00°. The inequivalent atoms are Ti at (0.000, 0.000, 0.000), Al at (0.000, 0.000, 0.500), Ir at (0.000, 0.500, 0.250) and Pt at (0.000, 0.500, 0.750).


No. 3
## SmY2Tm9 (PBE)

Data for a relaxed structure of SmY2Tm9.

Its energy of formation from the pure elements is 0.056 eV per atom. The value obtained for the density of states at the Fermi level is 18.13 states/eV/f.u. The value obtained for the volume is 371.68 Å³/f.u.

It has space group P6/mmm (No. 191), with a = 11.1146 Å, b = 11.1146 Å, c = 3.4741 Å, α = 90.00°, β = 90.00° and γ = 120.00°. The inequivalent atoms are Sm at (0.0000, 0.0000, 0.0000), Y at (0.3333, 0.6667, 0.0000), Tm at (0.0000, 0.5000, 0.0000) and Tm at (0.1772, 0.3544, 0.5000).


No. 4
## YEr2ScP4 (PBE)

Data for a relaxed structure of YEr2ScP4.

Its energy of formation from the pure elements is -1.568 eV per atom. The value obtained for the density of states at the Fermi level is 0.96 states/eV/f.u. The value obtained for the volume is 171.75 Å³/f.u.

It has space group P2/m (No. 10), with a = 6.805 Å, b = 3.933 Å, c = 6.807 Å, α = 90.00°, β = 109.47° and γ = 90.00°. The inequivalent atoms are Y at (0.000, 0.000, 0.000), Er at (0.000, 0.500, 0.500), Er at (0.500, 0.000, 0.500), Sc at (0.500, 0.500, 0.000), P at (0.256, 0.500, 0.248) and P at (0.259, 0.000, 0.757).


No. 5
## Cs8Hg2AuO (PBE)

Data for a relaxed structure of Cs8Hg2AuO.

The formation energy (no corrections) comes out at -0.3751 eV per atom. The value obtained for the density of states at the Fermi level is 8.41 states/eV/f.u. The value obtained for the volume is 765.07 Å³/f.u.

It has space group P-1 (No. 2), with a = 8.660 Å, b = 8.954 Å, c = 9.883 Å, α = 90.36°, β = 90.39° and γ = 93.29°. The inequivalent atoms are Cs at (0.178, 0.238, 0.499), Cs at (0.208, 0.641, 0.714), Cs at (0.209, 0.643, 0.290), Cs at (0.271, 0.165, 0.000), Hg at (0.498, 0.998, 0.654), Au at (0.000, 0.500, 0.000) and O at (0.000, 0.500, 0.500).


No. 6
## MgPd2Br (PBE)

Data for a relaxed structure of MgPd2Br.

The formation energy (no corrections) comes out at -0.1539 eV per atom. The value obtained for the density of states at the Fermi level is 0.99 states/eV/f.u. The value obtained for the volume is 71.07 Å³/f.u.

It has space group Fm-3m (No. 225), with a = 6.575 Å, b = 6.575 Å, c = 6.575 Å, α = 90.00°, β = 90.00° and γ = 90.00°. The inequivalent atoms are Mg at (0.000, 0.000, 0.000), Pd at (0.250, 0.250, 0.250) and Br at (0.000, 0.000, 0.500).


No. 7
## La8CuAg2 (PBE)

Data for a relaxed structure of La8CuAg2.

Its energy of formation from the pure elements is -0.101 eV per atom. The value obtained for the density of states at the Fermi level is 12.20 states/eV/f.u. The value obtained for the volume is 341.73 Å³/f.u.

It has space group C2/m (No. 12), with a = 19.020 Å, b = 5.373 Å, c = 7.087 Å, α = 90.00°, β = 109.33° and γ = 90.00°. The inequivalent atoms are La at (0.018, 0.000, 0.289), La at (0.088, 0.500, 0.960), La at (0.166, 0.500, 0.504), La at (0.202, 0.000, 0.821), Cu at (0.000, 0.500, 0.500) and Ag at (0.171, 0.000, 0.229).


No. 8
## PrPaTe2N (PBE)

Data for a relaxed structure of PrPaTe2N.

The formation energy (no corrections) comes out at -1.4236 eV per atom. The value obtained for the density of states at the Fermi level is 4.17 states/eV/f.u. The value obtained for the volume is 141.12 Å³/f.u.

It has space group P4/nmm (No. 129, origin choice 2), with a = 4.109 Å, b = 4.109 Å, c = 16.715 Å, α = 90.00°, β = 90.00° and γ = 90.00°. The inequivalent atoms are Pr at (0.250, 0.250, 0.142), Pa at (0.250, 0.250, 0.566), Te at (0.250, 0.250, 0.329), Te at (0.250, 0.250, 0.923) and N at (0.250, 0.750, 0.500).


No. 9
## Mo2IrBr (PBE)

Data for a relaxed structure of Mo2IrBr.

The formation energy (no corrections) comes out at 0.9619 eV per atom. The value obtained for the density of states at the Fermi level is 3.97 states/eV/f.u. The value obtained for the volume is 65.09 Å³/f.u.

It has space group I4/mmm (No. 139), with a = 3.898 Å, b = 3.898 Å, c = 8.567 Å, α = 90.00°, β = 90.00° and γ = 90.00°. The inequivalent atoms are Mo at (0.000, 0.500, 0.250), Ir at (0.000, 0.000, 0.000) and Br at (0.000, 0.000, 0.500).


| no. | total moment (μB per cell) |
| --- | --- |
| 1 | 0.00 |
| 2 | 0.00 |
| 3 | 0.00 |
| 4 | 0.00 |
| 5 | 0.00 |
| 6 | 0.00 |
| 7 | 0.00 |
| 8 | 1.43 |
| 9 | 0.00 |